## Sr2TbSn3Au4 (PBE)

Data for crystalline Sr2TbSn3Au4 at its relaxed geometry.

Values from the calculation:
E_form: -0.6395 eV/atom
Symmetry: No. 115
Uncorrected energy: -3.95 eV/atom

CIF file:
```
data_Sr2TbSn3Au4
_cell_length_a 4.703
_cell_length_b 4.703
_cell_length_c 11.951
_cell_angle_alpha 90.00
_cell_angle_beta 90.00
_cell_angle_gamma 90.00
_symmetry_space_group_name_H-M 'P 1'
_symmetry_Int_Tables_number 1
loop_
_symmetry_equiv_pos_as_xyz
'x,y,z'
loop_
_atom_site_label
_atom_site_fract_x
_atom_site_fract_y
_atom_site_fract_z
_atom_site_occupancy
Sr1 0.500 0.000 0.224 1
Sr2 0.000 0.500 0.776 1
Tb1 0.500 0.500 0.500 1
Sn1 0.000 0.000 0.500 1
Sn2 0.500 0.000 0.873 1
Sn3 0.000 0.500 0.127 1
Au1 0.500 0.500 0.000 1
Au2 0.000 0.000 0.000 1
Au3 0.500 0.000 0.647 1
Au4 0.000 0.500 0.353 1
```